Record 1
## YZr2F (PBE)

Data for a relaxed YZr2F crystal.

Summary:
Relative energy among the computed polymorphs (meV/atom): 0
Symmetry: I-42d, No. 122
Total energy (eV/cell): -54.50

abc: 5.976 5.976 7.220
angles: 65.56 65.56 90.00
Fractional coordinates of all 8 atoms:
Y (0.000, 0.000, 0.000)
Y (0.750, 0.250, 0.500)
Zr (0.414, 0.125, 0.250)
Zr (0.336, 0.625, 0.250)
Zr (0.375, 0.586, 0.750)
Zr (0.875, 0.664, 0.750)
F (0.500, 0.500, 0.000)
F (0.250, 0.750, 0.500)

Record 2
## YZr3F (PBE)

Data for a relaxed YZr3F crystal.

Summary:
Relative energy among the computed polymorphs (meV/atom): 1919
Symmetry: Pm-3m, No. 221
Total energy (eV/cell): -27.28

abc: 5.296 5.296 5.296
angles: 90.00 90.00 90.00
Fractional coordinates of all 5 atoms:
Y (0.000, 0.000, 0.000)
Zr (0.000, 0.500, 0.000)
Zr (0.000, 0.000, 0.500)
Zr (0.500, 0.000, 0.000)
F (0.500, 0.500, 0.500)

Record 3
## YZr3F (PBE)

Data for a relaxed YZr3F crystal.

Summary:
Relative energy among the computed polymorphs (meV/atom): 0
Symmetry: Pm-3m, No. 221
Total energy (eV/cell): -36.88

abc: 4.736 4.736 4.736
angles: 90.00 90.00 90.00
Fractional coordinates of all 5 atoms:
Y (0.500, 0.500, 0.500)
Zr (0.000, 0.500, 0.000)
Zr (0.000, 0.000, 0.500)
Zr (0.500, 0.000, 0.000)
F (0.000, 0.000, 0.000)

no.,total magnetic moment (μB/atom)
1,0.000
2,0.000
3,0.000